Entry one
! ErIn3Ni2, relaxed, DFT PBE-GGA; values from VASP
! - SG: C2/m, No. 12
! - Magnetization: 0.00 μB/cell
&SYSTEM
  ibrav = 0, nat = 12, ntyp = 3
/
ATOMIC_SPECIES
Er 167.26 Er.upf
In 114.82 In.upf
Ni 58.69 Ni.upf
CELL_PARAMETERS angstrom
8.0848 -2.0325 0.0000
8.0848 2.0325 0.0000
-4.4805 0.0000 7.2490
ATOMIC_POSITIONS crystal
Er 0.1243 0.1243 0.1243
Er 0.8757 0.8757 0.8757
In 0.9998 0.9998 0.3359
In 0.0002 0.0002 0.6641
In 0.3295 0.3295 0.5293
In 0.3295 0.3295 0.1295
In 0.6705 0.6705 0.8705
In 0.6705 0.6705 0.4707
Ni 0.2100 0.2100 0.7104
Ni 0.5001 0.5001 0.1395
Ni 0.4999 0.4999 0.8605
Ni 0.7900 0.7900 0.2896



Entry two
! ErIn3Ni2, relaxed, DFT PBE-GGA; values from VASP
! - SG: C2/m, No. 12
! - Magnetization: 0.00 μB/cell
&SYSTEM
  ibrav = 0, nat = 18, ntyp = 3
/
ATOMIC_SPECIES
Er 167.26 Er.upf
In 114.82 In.upf
Ni 58.69 Ni.upf
CELL_PARAMETERS angstrom
9.0904 -2.1914 0.0000
9.0904 2.1914 0.0000
-5.0071 0.0000 9.0141
ATOMIC_POSITIONS crystal
Er 0.0000 0.0000 0.0000
Er 0.1701 0.1701 0.6769
Er 0.8299 0.8299 0.3231
In 0.0194 0.0194 0.3206
In 0.2085 0.2085 0.3902
In 0.3212 0.3212 0.0673
In 0.3719 0.3719 0.8350
In 0.5000 0.5000 0.5000
In 0.6281 0.6281 0.1650
In 0.6788 0.6788 0.9327
In 0.7915 0.7915 0.6098
In 0.9806 0.9806 0.6794
Ni 0.2010 0.2010 0.1298
Ni 0.3766 0.3766 0.5676
Ni 0.4802 0.4802 0.1575
Ni 0.5198 0.5198 0.8425
Ni 0.6234 0.6234 0.4324
Ni 0.7990 0.7990 0.8702



Relative energy of each structure, in eV/atom: entry one 0.000; entry two 0.067.



Entry one
! Er3InO6, relaxed, DFT PBE-GGA; values from VASP
! - SG: Cmc2_1, No. 36
! - Magnetization: 0.00 μB/cell
&SYSTEM
  ibrav = 0, nat = 20, ntyp = 3
/
ATOMIC_SPECIES
Er 167.26 Er.upf
In 114.82 In.upf
O 16.00 O.upf
CELL_PARAMETERS angstrom
4.4558 -5.5044 0.0000
4.4558 5.5044 0.0000
0.0000 0.0000 5.5686
ATOMIC_POSITIONS crystal
Er 0.1009 0.8991 0.5000
Er 0.1866 0.4113 0.4451
Er 0.4113 0.1866 0.9451
Er 0.5887 0.8134 0.4451
Er 0.8134 0.5887 0.9451
Er 0.8991 0.1009 0.0000
In 0.3370 0.6630 0.9329
In 0.6630 0.3370 0.4329
O 0.0793 0.5978 0.7303
O 0.1434 0.1781 0.7252
O 0.1781 0.1434 0.2252
O 0.2781 0.7219 0.2873
O 0.4022 0.9207 0.7303
O 0.4840 0.5160 0.6532
O 0.5160 0.4840 0.1532
O 0.5978 0.0793 0.2303
O 0.7219 0.2781 0.7873
O 0.8219 0.8566 0.7252
O 0.8566 0.8219 0.2252
O 0.9207 0.4022 0.2303



Entry two
! Er3InO6, relaxed, DFT PBE-GGA; values from VASP
! - SG: R-3, No. 148
! - Magnetization: 0.00 μB/cell
&SYSTEM
  ibrav = 0, nat = 20, ntyp = 3
/
ATOMIC_SPECIES
Er 167.26 Er.upf
In 114.82 In.upf
O 16.00 O.upf
CELL_PARAMETERS angstrom
4.7508 2.7429 3.6933
-4.7508 2.7429 3.6933
0.0000 -5.4858 3.6933
ATOMIC_POSITIONS crystal
Er 0.0590 0.7522 0.5674
Er 0.2478 0.4326 0.9410
Er 0.4326 0.9410 0.2478
Er 0.5674 0.0590 0.7522
Er 0.7522 0.5674 0.0590
Er 0.9410 0.2478 0.4326
In 0.0000 0.0000 0.0000
In 0.5000 0.5000 0.5000
O 0.0318 0.6850 0.9008
O 0.0992 0.9682 0.3150
O 0.1861 0.4286 0.5927
O 0.3150 0.0992 0.9682
O 0.4073 0.8139 0.5714
O 0.4286 0.5927 0.1861
O 0.5714 0.4073 0.8139
O 0.5927 0.1861 0.4286
O 0.6850 0.9008 0.0318
O 0.8139 0.5714 0.4073
O 0.9008 0.0318 0.6850
O 0.9682 0.3150 0.0992



Relative energy of each structure, in eV/atom: entry one 0.056; entry two 0.000.



Entry one
! Er2InOs, relaxed, DFT PBE-GGA; values from VASP
! - SG: Fm-3m, No. 225
! - Magnetization: 0.00 μB/cell
&SYSTEM
  ibrav = 0, nat = 4, ntyp = 3
/
ATOMIC_SPECIES
Er 167.26 Er.upf
In 114.82 In.upf
Os 190.23 Os.upf
CELL_PARAMETERS angstrom
0.0000 3.5328 3.5328
3.5328 0.0000 3.5328
3.5328 3.5328 0.0000
ATOMIC_POSITIONS crystal
Er 0.2500 0.2500 0.2500
Er 0.7500 0.7500 0.7500
In 0.0000 0.0000 0.0000
Os 0.5000 0.5000 0.5000



Entry two
! Er2InOs, relaxed, DFT PBE-GGA; values from VASP
! - SG: P4/mmm, No. 123
! - Magnetization: 0.00 μB/cell
&SYSTEM
  ibrav = 0, nat = 4, ntyp = 3
/
ATOMIC_SPECIES
Er 167.26 Er.upf
In 114.82 In.upf
Os 190.23 Os.upf
CELL_PARAMETERS angstrom
3.3562 0.0000 0.0000
0.0000 3.3562 0.0000
0.0000 0.0000 8.2431
ATOMIC_POSITIONS crystal
Er 0.0000 0.0000 0.2015
Er 0.0000 0.0000 0.7985
In 0.5000 0.5000 0.5000
Os 0.5000 0.5000 0.0000



Relative energy of each structure, in eV/atom: entry one 0.132; entry two 0.000.



Entry one
! Er2InOs, relaxed, DFT PBE-GGA; values from VASP
! - SG: R-3m, No. 166
! - Magnetization: 0.00 μB/cell
&SYSTEM
  ibrav = 0, nat = 4, ntyp = 3
/
ATOMIC_SPECIES
Er 167.26 Er.upf
In 114.82 In.upf
Os 190.23 Os.upf
CELL_PARAMETERS angstrom
1.7231 0.9949 10.3925
-1.7231 0.9949 10.3925
0.0000 -1.9897 10.3925
ATOMIC_POSITIONS crystal
Er 0.1039 0.1039 0.1039
Er 0.8961 0.8961 0.8961
In 0.0000 0.0000 0.0000
Os 0.5000 0.5000 0.5000



Entry two
! Er2InOs, relaxed, DFT PBE-GGA; values from VASP
! - SG: P4/mmm, No. 123
! - Magnetization: 0.00 μB/cell
&SYSTEM
  ibrav = 0, nat = 4, ntyp = 3
/
ATOMIC_SPECIES
Er 167.26 Er.upf
In 114.82 In.upf
Os 190.23 Os.upf
CELL_PARAMETERS angstrom
4.9327 0.0000 0.0000
0.0000 4.9327 0.0000
0.0000 0.0000 3.6255
ATOMIC_POSITIONS crystal
Er 0.0000 0.5000 0.0000
Er 0.5000 0.0000 0.0000
In 0.0000 0.0000 0.5000
Os 0.5000 0.5000 0.5000



Relative energy of each structure, in eV/atom: entry one 0.404; entry two 0.000.



Entry one
! ErScInOs, relaxed, DFT PBE-GGA; values from VASP
! - SG: P4mm, No. 99
! - Magnetization: 0.00 μB/cell
&SYSTEM
  ibrav = 0, nat = 4, ntyp = 4
/
ATOMIC_SPECIES
Er 167.26 Er.upf
Sc 44.96 Sc.upf
In 114.82 In.upf
Os 190.23 Os.upf
CELL_PARAMETERS angstrom
3.3566 0.0000 0.0000
0.0000 3.3566 0.0000
0.0000 0.0000 7.5232
ATOMIC_POSITIONS crystal
Er 0.0000 0.0000 0.0000
Sc 0.0000 0.0000 0.5798
In 0.5000 0.5000 0.3101
Os 0.5000 0.5000 0.7724



Entry two
! ErScInOs, relaxed, DFT PBE-GGA; values from VASP
! - SG: F-43m, No. 216
! - Magnetization: 0.00 μB/cell
&SYSTEM
  ibrav = 0, nat = 4, ntyp = 4
/
ATOMIC_SPECIES
Er 167.26 Er.upf
Sc 44.96 Sc.upf
In 114.82 In.upf
Os 190.23 Os.upf
CELL_PARAMETERS angstrom
0.0000 3.4518 3.4518
3.4518 0.0000 3.4518
3.4518 3.4518 0.0000
ATOMIC_POSITIONS crystal
Er 0.0000 0.0000 0.0000
Sc 0.5000 0.5000 0.5000
In 0.2500 0.2500 0.2500
Os 0.7500 0.7500 0.7500



Relative energy of each structure, in eV/atom: entry one 0.000; entry two 0.149.



Entry one
! Er2PaIn, relaxed, DFT PBE-GGA; values from VASP
! - SG: R-3m, No. 166
! - Magnetization: 0.00 μB/cell
&SYSTEM
  ibrav = 0, nat = 4, ntyp = 3
/
ATOMIC_SPECIES
Er 167.26 Er.upf
Pa 231.04 Pa.upf
In 114.82 In.upf
CELL_PARAMETERS angstrom
1.6331 0.9429 11.8356
-1.6331 0.9429 11.8356
0.0000 -1.8858 11.8356
ATOMIC_POSITIONS crystal
Er 0.0911 0.0911 0.0911
Er 0.9089 0.9089 0.9089
Pa 0.0000 0.0000 0.0000
In 0.5000 0.5000 0.5000



Entry two
! Er2PaIn, relaxed, DFT PBE-GGA; values from VASP
! - SG: P4/mmm, No. 123
! - Magnetization: 0.00 μB/cell
&SYSTEM
  ibrav = 0, nat = 4, ntyp = 3
/
ATOMIC_SPECIES
Er 167.26 Er.upf
Pa 231.04 Pa.upf
In 114.82 In.upf
CELL_PARAMETERS angstrom
4.8282 0.0000 0.0000
0.0000 4.8282 0.0000
0.0000 0.0000 4.5531
ATOMIC_POSITIONS crystal
Er 0.0000 0.5000 0.0000
Er 0.5000 0.0000 0.0000
Pa 0.0000 0.0000 0.5000
In 0.5000 0.5000 0.5000



Entry three
! Er2PaIn, relaxed, DFT PBE-GGA; values from VASP
! - SG: P4/mmm, No. 123
! - Magnetization: 0.38 μB/cell
&SYSTEM
  ibrav = 0, nat = 4, ntyp = 3
/
ATOMIC_SPECIES
Er 167.26 Er.upf
Pa 231.04 Pa.upf
In 114.82 In.upf
CELL_PARAMETERS angstrom
3.4220 0.0000 0.0000
0.0000 3.4220 0.0000
0.0000 0.0000 9.1784
ATOMIC_POSITIONS crystal
Er 0.0000 0.0000 0.2404
Er 0.0000 0.0000 0.7596
Pa 0.5000 0.5000 0.5000
In 0.5000 0.5000 0.0000



Relative energy of each structure, in eV/atom: entry one 0.281; entry two 0.087; entry three 0.000.